Below is a relaxed structure of Sm2HfPaP4, with properties calculated at the GGA-PBE level.

a b c (Å): 6.816 3.957 6.904
angles (deg): 90.00 109.17 90.00
Space group P2/m (No. 10)
Inequivalent atoms, fractional coordinates:
1 Sm 0.000 0.000 0.000 x1
2 Sm 0.500 0.500 0.000 x1
3 Hf 0.000 0.500 0.500 x1
4 Pa 0.500 0.000 0.500 x1
5 P 0.236 0.000 0.728 x2
6 P 0.247 0.500 0.266 x2

Calculated values
magnetic moment = 0.00 μB per formula unit
density of states at the Fermi level = 4.71 states/eV per cell
DFT total energy = -7.742 eV per atom
ρ = 7874 kg/m3
formation energy from the elements = -1.4264 eV/atom